{
  "formula": "Ba3CrSb2O8",
  "functional": "PBE with a Hubbard U",
  "state": "relaxed",
  "cell": [[5.977, 0.000, 0.000], [-2.988, 5.176, 0.000], [0.000, 0.000, 7.891]],
  "species": ["Ba", "Ba", "Ba", "Cr", "Sb", "Sb", "O", "O", "O", "O", "O", "O", "O", "O"],
  "fractional_positions": [[0.000, 0.000, 0.000], [0.333, 0.667, 0.637], [0.667, 0.333, 0.363], [0.000, 0.000, 0.500], [0.333, 0.667, 0.209], [0.667, 0.333, 0.791], [0.160, 0.320, 0.337], [0.160, 0.840, 0.337], [0.320, 0.160, 0.663], [0.333, 0.667, 0.954], [0.667, 0.333, 0.046], [0.680, 0.840, 0.337], [0.840, 0.160, 0.663], [0.840, 0.680, 0.663]],
  "crystal_system": "trigonal",
  "mass_density_g_cm3": 5.683,
  "energy_ev_per_atom": -6.25,
  "vol_a3_per_atom": 17.44
}